Entry 1:
Density functional theory data (PBE-GGA) for a relaxed CaEuPb crystal.

```
CaEuPb
1.0
3.9416 0.0000 0.0000
0.0000 5.4684 0.0000
0.0000 -2.7342 4.7358
Ca Pb Eu
1 1 1
direct
0.9138 0.0000 0.0000
0.7193 0.6667 0.3333
0.3669 0.3333 0.6667
```

Properties
Crystal system: trigonal
SG: P3m1, No. 156

Entry 2:
Density functional theory data (PBE-GGA) for a relaxed CaEuPdPb crystal.

```
CaEuPdPb
1.0
5.3472 0.0000 0.0000
2.6736 4.6308 0.0000
2.6736 1.5436 4.3660
Pd Pb Ca Eu
1 1 1 1
direct
0.0000 0.0000 0.0000
0.5000 0.5000 0.5000
0.2500 0.2500 0.2500
0.7500 0.7500 0.7500
```

Properties
Crystal system: cubic
SG: F-43m, No. 216

Entry 3:
Density functional theory data (PBE-GGA) for a relaxed CaPmEuPb crystal.

```
CaPmEuPb
1.0
5.6894 0.0000 0.0000
2.8447 4.9272 0.0000
2.8447 1.6424 4.6454
Pb Eu Ca Pm
1 1 1 1
direct
0.5000 0.5000 0.5000
0.0000 0.0000 0.0000
0.7500 0.7500 0.7500
0.2500 0.2500 0.2500
```

Properties
Crystal system: cubic
SG: F-43m, No. 216

no.,formation enthalpy at 0 K (kJ/mol of formula units)
1,-110
2,-202
3,-57